# LiZn2Te

A relaxed LiZn2Te crystal (PBE-GGA, Alexandria).

Geometry as POSCAR:
```
LiZn2Te
1.0
5.6377 -0.0184 0.0000
2.8277 4.8773 0.0000
-4.2327 -2.4294 2.8224
Te Zn Li
1 2 1
Direct
0.7500 0.2500 0.5000 Te
0.0000 0.0000 0.0000 Zn
0.5000 0.5000 0.0000 Zn
0.2500 0.7500 0.5000 Li
```

Results
- Fermi-level density of states: 0.789 states/eV per cell
- Formation energy from raw total energies: -0.180 eV/atom

***

# CeGa7Cu12

A relaxed CeGa7Cu12 crystal (PBE-GGA, Alexandria).

Geometry as POSCAR:
```
CeGa7Cu12
1.0
-3.9332 -3.7891 -3.4595
3.1612 4.8569 -4.8866
5.1171 -4.5735 3.2186
Ga Cu Ce
7 12 1
Direct
0.4606 0.6548 0.6548 Ga
0.1942 0.6548 0.0000 Ga
0.8058 0.0000 0.3452 Ga
0.5000 0.0000 0.0000 Ga
0.1942 0.0000 0.6548 Ga
0.8058 0.3452 0.0000 Ga
0.5394 0.3452 0.3452 Ga
0.3930 0.3411 0.0000 Cu
0.0000 0.2726 0.7274 Cu
0.9481 0.3411 0.3411 Cu
0.6070 0.0000 0.6589 Cu
0.6070 0.6589 0.0000 Cu
0.2726 0.2726 0.5451 Cu
0.0000 0.7274 0.2726 Cu
0.7274 0.4549 0.7274 Cu
0.0519 0.6589 0.6589 Cu
0.3930 0.0000 0.3411 Cu
0.2726 0.5451 0.2726 Cu
0.7274 0.7274 0.4549 Cu
0.0000 0.0000 0.0000 Ce
```

Results
- Fermi-level density of states: 11.027 states/eV per cell
- Calculated formation energy: -0.053 eV/atom

***

# La4GaCl3

A relaxed La4GaCl3 crystal (PBE-GGA, Alexandria).

Geometry as POSCAR:
```
La4GaCl3
1.0
5.9830 0.0000 0.0000
0.0000 5.9830 0.0000
0.0000 0.0000 5.9830
La Ga Cl
4 1 3
Direct
0.0000 0.0000 0.5000 La
0.5000 0.0000 0.0000 La
0.0000 0.5000 0.0000 La
0.5000 0.5000 0.5000 La
0.0000 0.0000 0.0000 Ga
0.5000 0.0000 0.5000 Cl
0.0000 0.5000 0.5000 Cl
0.5000 0.5000 0.0000 Cl
```

Results
- Fermi-level density of states: 5.592 states/eV per cell
- Formation energy from raw total energies: -1.363 eV/atom

***

# Pm2Pr2Hg7

A relaxed Pm2Pr2Hg7 crystal (PBE-GGA, Alexandria).

Geometry as POSCAR:
```
Pm2Pr2Hg7
1.0
-4.4564 -6.0243 0.7076
-0.3131 -0.5024 -6.2492
6.5192 -3.7618 -0.0242
Hg Pm Pr
7 2 2
Direct
0.9998 0.2667 0.5003 Hg
0.0000 0.0000 0.0000 Hg
0.5002 0.7282 0.4998 Hg
0.0002 0.7333 0.4997 Hg
0.5003 0.7333 0.9998 Hg
0.4997 0.2667 0.0002 Hg
0.4998 0.2718 0.5002 Hg
0.2747 0.0000 0.7253 Pm
0.7253 0.0000 0.2747 Pm
0.1888 0.5000 0.1888 Pr
0.8112 0.5000 0.8112 Pr
```

Results
- Fermi-level density of states: 8.864 states/eV per cell
- Calculated formation energy: -0.131 eV/atom

***

Q: What is the Fermi-level density of states in the fourth record?
A: 8.864 states/eV per cell